Entry from the Alexandria database: an optimized crystal structure of MgMnO2F (PBE with a Hubbard U).

Unit cell a=3.8577 b=3.8577 c=3.9239 alpha=90.00 beta=90.00 gamma=90.00
Last column: magnetic moment on the atom in μB.
Sites, in units of the cell vectors:
Mn 0.0000 0.0000 0.0000  3.90
F 0.0000 0.0000 0.5000  0.04
O 0.0000 0.5000 0.0000  -0.04
O 0.5000 0.0000 0.0000  -0.04
Mg 0.5000 0.5000 0.5000  0.01

Calculated values
total moment	0.80	μB per atom
uncorrected energy	-5.924	eV per atom
DOS(E_F)	0.13	states/eV per atom